# TaCuP PBEsol optimized geometry
data_TaCuP
_space_group_name_H-M_alt 'F -4 3 m'
_space_group_IT_number 216
_space_group_name_Hall 'F -4 2 3'
_cell_length_a 5.671
_cell_length_b 5.671
_cell_length_c 5.671
_cell_angle_alpha 90.00
_cell_angle_beta 90.00
_cell_angle_gamma 90.00
loop_
_atom_site_label
_atom_site_type_symbol
_atom_site_fract_x
_atom_site_fract_y
_atom_site_fract_z
Ta1 Ta 0.000 0.000 0.000
Cu1 Cu 0.250 0.250 0.750
P1 P 0.000 0.000 0.500
# * formation energy from the elements: 0.5111 eV/atom
# * Fermi-level density of states: 1.178 states/eV/atom

# Cu2TcP PBEsol optimized geometry
data_Cu2TcP
_space_group_name_H-M_alt 'P 4 m m'
_space_group_IT_number 99
_cell_length_a 3.012
_cell_length_b 3.012
_cell_length_c 5.380
_cell_angle_alpha 90.00
_cell_angle_beta 90.00
_cell_angle_gamma 90.00
loop_
_space_group_symop_operation_xyz
'x,y,z'
'-y,x,z'
'-x,-y,z'
'y,-x,z'
'-x,y,z'
'y,x,z'
'x,-y,z'
'-y,-x,z'
loop_
_atom_site_label
_atom_site_type_symbol
_atom_site_fract_x
_atom_site_fract_y
_atom_site_fract_z
Cu1 Cu 0.000 0.000 0.000
Cu2 Cu 0.500 0.500 0.215
Tc1 Tc 0.500 0.500 0.700
P1 P 0.000 0.000 0.494
# * formation energy from the elements: -0.1173 eV/atom
# * Fermi-level density of states: 0.637 states/eV/atom

# CuTcP3 PBEsol optimized geometry
data_CuTcP3
_space_group_name_H-M_alt 'P m -3 m'
_space_group_IT_number 221
_space_group_name_Hall '-P 4 2 3'
_cell_length_a 4.319
_cell_length_b 4.319
_cell_length_c 4.319
_cell_angle_alpha 90.00
_cell_angle_beta 90.00
_cell_angle_gamma 90.00
loop_
_atom_site_label
_atom_site_type_symbol
_atom_site_fract_x
_atom_site_fract_y
_atom_site_fract_z
Cu1 Cu 0.000 0.000 0.000
Tc1 Tc 0.500 0.500 0.500
P1 P 0.000 0.000 0.500
# * formation energy from the elements: 1.1748 eV/atom
# * Fermi-level density of states: 0.699 states/eV/atom

# CuTc2P PBEsol optimized geometry
data_CuTc2P
_space_group_name_H-M_alt 'C 1 m 1'
_space_group_IT_number 8
_cell_length_a 8.726
_cell_length_b 2.873
_cell_length_c 4.209
_cell_angle_alpha 90.00
_cell_angle_beta 107.66
_cell_angle_gamma 90.00
loop_
_space_group_symop_operation_xyz
'x,y,z'
'x,-y,z'
'x+1/2,y+1/2,z'
'x+1/2,-y+1/2,z'
loop_
_atom_site_label
_atom_site_type_symbol
_atom_site_fract_x
_atom_site_fract_y
_atom_site_fract_z
Cu1 Cu 0.000 0.000 0.000
Tc1 Tc 0.023 0.500 0.520
Tc2 Tc 0.253 0.500 0.165
P1 P 0.264 0.000 0.690
# * formation energy from the elements: -0.0352 eV/atom
# * Fermi-level density of states: 0.786 states/eV/atom